1.
Sr2AcNpP4 | GGA-PBE | relaxed

Lattice parameters (Å, degrees): 4.2870 7.4321 7.4312 109.37 90.00 90.00
Atoms (fractional coordinates):
Sr (0.5000, 0.0000, 0.5000)
Ac (0.0000, 0.0000, 0.0000)
P (0.0000, 0.7166, 0.2157)
P (0.5000, 0.7273, 0.7752)
Np (0.5000, 0.5000, 0.0000)
P (0.0000, 0.2834, 0.7843)
P (0.5000, 0.2727, 0.2248)
Sr (0.0000, 0.5000, 0.5000)

Properties
* formation enthalpy at 0 K: -1.045 eV/atom
* D(E_F): 0.813 states/eV per atom
* SG: P2/m, No. 10


2.
La2DyTm | GGA-PBE | relaxed

Lattice parameters (Å, degrees): 3.7127 6.1641 6.1641 106.28 90.00 90.00
Atoms (fractional coordinates):
La (0.0000, 0.0000, 0.5000)
Tm (0.5000, 0.5000, 0.5000)
La (0.0000, 0.5000, 0.0000)
Dy (0.5000, 0.0000, 0.0000)

Properties
* formation enthalpy at 0 K: 0.026 eV/atom
* D(E_F): 1.661 states/eV per atom
* E above lowest polymorph: 0.005 eV/atom
* SG: Cmmm, No. 65


3.
LaGeC | GGA-PBE | relaxed

Lattice parameters (Å, degrees): 4.2324 4.3111 7.9897 94.47 90.19 119.08
Atoms (fractional coordinates):
Ge (0.1222, 0.1182, 0.9594)
La (0.7546, 0.3832, 0.6881)
C (0.5242, 0.9190, 0.4025)
Ge (0.4521, 0.7756, 0.9539)
C (0.3854, 0.6614, 0.4982)
La (0.8111, 0.4911, 0.2282)

Properties
* formation enthalpy at 0 K: -0.317 eV/atom
* D(E_F): 0.203 states/eV per atom
* E above lowest polymorph: 0.105 eV/atom
* SG: P1, No. 1


4.
Pr4Al2Br5 | GGA-PBE | relaxed

Lattice parameters (Å, degrees): 3.9753 8.9525 12.5198 81.57 99.14 90.00
Atoms (fractional coordinates):
Br (0.8632, 0.2003, 0.7263)
Br (0.7778, 0.6713, 0.5557)
Al (0.5517, 0.4530, 0.1034)
Al (0.4483, 0.5470, 0.8966)
Br (0.5000, 0.0000, 0.0000)
Pr (0.3357, 0.4500, 0.6715)
Br (0.1368, 0.7997, 0.2737)
Br (0.2222, 0.3287, 0.4443)
Pr (0.9801, 0.2745, 0.9603)
Pr (0.6643, 0.5500, 0.3285)
Pr (0.0199, 0.7255, 0.0397)

Properties
* D(E_F): 0.682 states/eV per atom
* formation energy from raw total energies: -12.3 eV per formula unit
* SG: C2/m, No. 12


Across the entries above, E_tot takes the values -6.302, -4.706, -6.574, -4.299 eV/atom, respectively.
Across the entries above, total moment takes the values 2.00, 0.00, 0.00, 0.00 μB per formula unit, respectively.